A relaxed CsTlWF6 crystal. Source: Alexandria, functional GGA+U.

Structure (POSCAR):
```
CsTlWF6
1.0
7.074 0.000 0.000
-3.537 6.127 0.000
0.000 0.000 8.635
F W Cs Tl
12 2 2 2
direct
0.319 0.421 0.880
0.103 0.681 0.880
0.681 0.103 0.380
0.579 0.897 0.880
0.421 0.319 0.380
0.897 0.579 0.380
0.103 0.421 0.620
0.421 0.103 0.120
0.319 0.897 0.620
0.897 0.319 0.120
0.579 0.681 0.620
0.681 0.579 0.120
0.667 0.333 0.250
0.333 0.667 0.750
0.333 0.667 0.250
0.667 0.333 0.750
0.000 0.000 0.000
0.000 0.000 0.500
```

Summary:
Size of the total moment   0.222 μB per atom
D(E_F)   13.1 states/eV/cell
E_tot   -4.91 eV/atom